# 1
An optimized crystal structure of NbFe4Pd. Source: Alexandria via LeMat-Bulk, functional GGA-PBE.

POSCAR file:
```
NbFe4Pd
1.0
4.795 0.000 0.000
2.397 4.153 0.000
2.397 1.384 3.915
Fe Nb Pd
4 1 1
Cartesian
4.795 1.387 2.446 Fe
5.991 3.459 2.446 Fe
3.599 3.459 2.446 Fe
4.795 2.768 0.492 Fe
2.397 1.384 0.979 Nb
0.000 0.000 0.000 Pd
```

Output
Formation energy ... -0.126 eV per atom


# 2
An optimized crystal structure of Nb3Fe5Pd12. Source: Alexandria via LeMat-Bulk, functional GGA-PBE.

POSCAR file:
```
Nb3Fe5Pd12
1.0
-4.152 3.345 -11.454
-9.627 -4.533 6.811
4.892 10.091 5.819
Pd Fe Nb
48 20 12
Cartesian
-2.717 3.488 -0.881 Pd
-8.009 7.085 -0.235 Pd
-4.688 2.858 2.450 Pd
-6.790 4.773 6.739 Pd
-12.066 -0.810 -2.914 Pd
-1.009 7.472 4.491 Pd
-2.807 4.634 7.873 Pd
-6.840 1.737 3.844 Pd
-2.097 4.129 -5.563 Pd
-8.707 2.327 1.597 Pd
-8.415 -2.508 6.106 Pd
0.239 3.956 2.830 Pd
-8.196 4.386 3.690 Pd
-7.480 -0.200 7.382 Pd
-2.047 7.166 -2.668 Pd
-4.199 6.044 -1.274 Pd
-1.010 9.677 1.249 Pd
-0.471 11.411 -4.930 Pd
-7.877 -0.775 -0.073 Pd
-1.407 9.103 -6.206 Pd
-4.865 6.498 8.222 Pd
-6.910 -1.358 2.487 Pd
-5.681 4.275 -3.744 Pd
-9.126 4.947 -1.654 Pd
-3.826 2.208 -4.079 Pd
-1.977 10.261 -1.312 Pd
-10.873 1.438 -1.750 Pd
3.179 9.712 4.090 Pd
-0.691 4.516 -2.514 Pd
-6.500 3.185 0.106 Pd
-6.170 5.414 2.057 Pd
-0.180 6.575 -0.421 Pd
-4.079 6.103 -5.468 Pd
-0.878 1.818 1.411 Pd
-4.131 -0.636 1.691 Pd
-6.080 4.268 -6.697 Pd
-0.244 6.685 7.065 Pd
-3.734 8.691 1.948 Pd
-2.387 5.718 1.070 Pd
-3.205 4.627 4.919 Pd
-5.153 0.212 -0.772 Pd
-4.808 2.799 6.644 Pd
-4.756 9.538 -0.515 Pd
-7.878 1.431 -3.315 Pd
1.986 7.465 2.925 Pd
-4.022 2.404 -7.046 Pd
-5.061 6.694 5.255 Pd
-8.642 2.218 -5.889 Pd
-4.813 -2.267 3.405 Fe
-6.889 -0.594 -2.321 Fe
-2.906 1.241 2.577 Fe
-5.905 0.802 5.858 Fe
-1.591 5.443 3.327 Fe
-9.795 0.647 0.256 Fe
-2.368 2.779 6.315 Fe
-2.982 8.100 -4.683 Fe
-5.981 7.662 -1.401 Fe
-7.296 3.459 -2.152 Fe
-4.443 4.451 0.588 Fe
0.000 0.000 0.000 Fe
-8.850 -1.869 3.823 Fe
0.370 6.718 -2.817 Fe
2.446 5.045 2.909 Fe
-5.535 7.520 3.041 Fe
0.908 8.256 0.920 Fe
-0.037 10.771 -2.648 Fe
-3.352 1.382 -1.865 Fe
-2.076 1.672 -5.727 Fe
-3.167 4.741 -3.274 Nb
-6.351 0.944 1.416 Nb
-6.112 2.070 -5.309 Nb
1.355 8.114 5.362 Nb
-10.241 0.788 -4.187 Nb
-3.613 4.883 -7.716 Nb
-2.774 6.832 6.485 Nb
-5.720 4.161 4.450 Nb
-0.407 4.054 0.170 Nb
-5.274 4.020 8.892 Nb
-8.480 4.849 1.006 Nb
-2.536 7.959 -0.240 Nb
```

Output
Formation energy ... 0.502 eV per atom


# 3
An optimized crystal structure of NbFe2Pd7. Source: Alexandria via LeMat-Bulk, functional GGA-PBE.

POSCAR file:
```
NbFe2Pd7
1.0
-2.423 2.179 -2.351
-5.773 -3.974 2.268
2.009 6.110 3.591
Fe Nb Pd
2 1 7
Cartesian
-4.583 0.227 1.501 Fe
-1.604 4.087 2.007 Fe
0.000 0.000 0.000 Nb
-5.118 1.730 3.445 Pd
-3.426 3.923 3.732 Pd
0.382 4.002 3.315 Pd
-4.146 -1.866 2.544 Pd
-2.761 0.392 -0.224 Pd
-3.094 2.157 1.754 Pd
-1.069 2.585 0.063 Pd
```

Output
Formation energy ... 0.353 eV per atom


# 4
An optimized crystal structure of Nb3FePd. Source: Alexandria via LeMat-Bulk, functional GGA-PBE.

POSCAR file:
```
Nb3FePd
1.0
4.555 0.000 0.000
0.000 4.555 0.000
0.000 0.000 4.555
Pd Nb Fe
1 3 1
Cartesian
2.278 2.278 2.278 Pd
0.000 2.278 0.000 Nb
0.000 0.000 2.278 Nb
2.278 0.000 0.000 Nb
0.000 0.000 0.000 Fe
```

Output
Formation energy ... 0.607 eV per atom
Relative energy among the computed polymorphs ... 0.000 eV per atom


# 5
An optimized crystal structure of NbFePd3. Source: Alexandria via LeMat-Bulk, functional GGA-PBE.

POSCAR file:
```
NbFePd3
1.0
4.492 0.000 0.000
0.000 4.492 0.000
0.000 0.000 4.492
Nb Pd Fe
1 3 1
Cartesian
2.246 2.246 2.246 Nb
0.000 2.246 0.000 Pd
0.000 0.000 2.246 Pd
2.246 0.000 0.000 Pd
0.000 0.000 0.000 Fe
```

Output
Formation energy ... 1.103 eV per atom
Relative energy among the computed polymorphs ... 1.044 eV per atom


# 6
An optimized crystal structure of NbFePdRu. Source: Alexandria via LeMat-Bulk, functional GGA-PBE.

POSCAR file:
```
NbFePdRu
1.0
4.409 0.000 0.000
2.204 3.818 0.000
2.204 1.273 3.600
Ru Fe Pd Nb
1 1 1 1
Cartesian
4.409 2.545 1.800 Ru
6.613 3.818 2.700 Fe
0.000 0.000 0.000 Pd
2.204 1.273 0.900 Nb
```

Output
Formation energy ... -0.022 eV per atom


Question: Among the records above, which one has the highest formation energy?
Answer: NbFePd3


Question: Which formula does entry 5 have?
Answer: NbFePd3


Question: Which value of formation energy does entry 5 give?
Answer: 1.103 eV per atom